Run i
# Nb3InP (PBE, optimized geometry)
data_Nb3InP
_space_group_name_H-M_alt 'P m -3 m'
_space_group_IT_number 221
_space_group_name_Hall '-P 4 2 3'
_cell_length_a 4.660
_cell_length_b 4.660
_cell_length_c 4.660
_cell_angle_alpha 90.00
_cell_angle_beta 90.00
_cell_angle_gamma 90.00
loop_
_atom_site_label
_atom_site_type_symbol
_atom_site_fract_x
_atom_site_fract_y
_atom_site_fract_z
Nb1 Nb 0.000 0.000 0.500
In1 In 0.500 0.500 0.500
P1 P 0.000 0.000 0.000
# Volume, Å³/atom: 20.234


Run ii
# Nb3InP (PBE, optimized geometry)
data_Nb3InP
_space_group_name_H-M_alt 'P m -3 m'
_space_group_IT_number 221
_space_group_name_Hall '-P 4 2 3'
_cell_length_a 5.017
_cell_length_b 5.017
_cell_length_c 5.017
_cell_angle_alpha 90.00
_cell_angle_beta 90.00
_cell_angle_gamma 90.00
loop_
_atom_site_label
_atom_site_type_symbol
_atom_site_fract_x
_atom_site_fract_y
_atom_site_fract_z
Nb1 Nb 0.000 0.000 0.500
In1 In 0.000 0.000 0.000
P1 P 0.500 0.500 0.500
# Volume, Å³/atom: 25.254


The structure with the least stability is run ii.


Run i
# Nb2In2P (PBE, optimized geometry)
data_Nb2In2P
_space_group_name_H-M_alt 'I 4/m m m'
_space_group_IT_number 139
_space_group_name_Hall '-I 4 2'
_cell_length_a 3.741
_cell_length_b 3.741
_cell_length_c 14.670
_cell_angle_alpha 90.00
_cell_angle_beta 90.00
_cell_angle_gamma 90.00
loop_
_atom_site_label
_atom_site_type_symbol
_atom_site_fract_x
_atom_site_fract_y
_atom_site_fract_z
Nb1 Nb 0.000 0.000 0.087
In1 In 0.000 0.500 0.250
P1 P 0.000 0.000 0.500
# Volume, Å³/atom: 20.532


Run ii
# Nb2In2P (PBE, optimized geometry)
data_Nb2In2P
_space_group_name_H-M_alt 'P 4/m b m'
_space_group_IT_number 127
_space_group_name_Hall '-P 4 2ab'
_cell_length_a 6.497
_cell_length_b 6.497
_cell_length_c 4.738
_cell_angle_alpha 90.00
_cell_angle_beta 90.00
_cell_angle_gamma 90.00
loop_
_atom_site_label
_atom_site_type_symbol
_atom_site_fract_x
_atom_site_fract_y
_atom_site_fract_z
Nb1 Nb 0.155 0.345 0.000
In1 In 0.160 0.660 0.500
P1 P 0.000 0.000 0.000
# Volume, Å³/atom: 20.002


The structure with the least stability is run i.


Run i
# PaNb2In (PBE, optimized geometry)
data_PaNb2In
_space_group_name_H-M_alt 'P 4/m m m'
_space_group_IT_number 123
_space_group_name_Hall '-P 4 2'
_cell_length_a 4.721
_cell_length_b 4.721
_cell_length_c 3.701
_cell_angle_alpha 90.00
_cell_angle_beta 90.00
_cell_angle_gamma 90.00
loop_
_atom_site_label
_atom_site_type_symbol
_atom_site_fract_x
_atom_site_fract_y
_atom_site_fract_z
Pa1 Pa 0.000 0.000 0.000
Nb1 Nb 0.000 0.500 0.500
In1 In 0.500 0.500 0.000
# Volume, Å³/atom: 20.616


Run ii
# PaNb2In (PBE, optimized geometry)
data_PaNb2In
_space_group_name_H-M_alt 'R -3 m'
_space_group_IT_number 166
_space_group_name_Hall '-R 3 2"'
_cell_length_a 3.3682
_cell_length_b 3.3682
_cell_length_c 26.1893
_cell_angle_alpha 90.00
_cell_angle_beta 90.00
_cell_angle_gamma 120.00
loop_
_atom_site_label
_atom_site_type_symbol
_atom_site_fract_x
_atom_site_fract_y
_atom_site_fract_z
Pa1 Pa 0.0000 0.0000 0.0000
Nb1 Nb 0.0000 0.0000 0.2546
In1 In 0.0000 0.0000 0.5000
# Volume, Å³/atom: 21.442


The structure with the least stability is run ii.


Run i
# NbInPb3 (PBE, optimized geometry)
data_NbInPb3
_space_group_name_H-M_alt 'P m -3 m'
_space_group_IT_number 221
_space_group_name_Hall '-P 4 2 3'
_cell_length_a 5.605
_cell_length_b 5.605
_cell_length_c 5.605
_cell_angle_alpha 90.00
_cell_angle_beta 90.00
_cell_angle_gamma 90.00
loop_
_atom_site_label
_atom_site_type_symbol
_atom_site_fract_x
_atom_site_fract_y
_atom_site_fract_z
Nb1 Nb 0.000 0.000 0.000
In1 In 0.500 0.500 0.500
Pb1 Pb 0.000 0.500 0.500
# Volume, Å³/atom: 35.213


Run ii
# NbInPb3 (PBE, optimized geometry)
data_NbInPb3
_space_group_name_H-M_alt 'P m -3 m'
_space_group_IT_number 221
_space_group_name_Hall '-P 4 2 3'
_cell_length_a 5.547
_cell_length_b 5.547
_cell_length_c 5.547
_cell_angle_alpha 90.00
_cell_angle_beta 90.00
_cell_angle_gamma 90.00
loop_
_atom_site_label
_atom_site_type_symbol
_atom_site_fract_x
_atom_site_fract_y
_atom_site_fract_z
Nb1 Nb 0.000 0.000 0.000
In1 In 0.500 0.500 0.500
Pb1 Pb 0.000 0.000 0.500
# Volume, Å³/atom: 34.133


The structure with the least stability is run i.


Run i
# NbIn3Pb (PBE, optimized geometry)
data_NbIn3Pb
_space_group_name_H-M_alt 'P m -3 m'
_space_group_IT_number 221
_space_group_name_Hall '-P 4 2 3'
_cell_length_a 5.411
_cell_length_b 5.411
_cell_length_c 5.411
_cell_angle_alpha 90.00
_cell_angle_beta 90.00
_cell_angle_gamma 90.00
loop_
_atom_site_label
_atom_site_type_symbol
_atom_site_fract_x
_atom_site_fract_y
_atom_site_fract_z
Nb1 Nb 0.000 0.000 0.000
In1 In 0.000 0.000 0.500
Pb1 Pb 0.500 0.500 0.500
# Volume, Å³/atom: 31.687


Run ii
# NbIn3Pb (PBE, optimized geometry)
data_NbIn3Pb
_space_group_name_H-M_alt 'P m -3 m'
_space_group_IT_number 221
_space_group_name_Hall '-P 4 2 3'
_cell_length_a 5.704
_cell_length_b 5.704
_cell_length_c 5.704
_cell_angle_alpha 90.00
_cell_angle_beta 90.00
_cell_angle_gamma 90.00
loop_
_atom_site_label
_atom_site_type_symbol
_atom_site_fract_x
_atom_site_fract_y
_atom_site_fract_z
Nb1 Nb 0.000 0.000 0.000
In1 In 0.000 0.500 0.500
Pb1 Pb 0.500 0.500 0.500
# Volume, Å³/atom: 37.113


The structure with the least stability is run ii.


Run i
# NbInPd5 (PBE, optimized geometry)
data_NbInPd5
_space_group_name_H-M_alt 'C 1 2/c 1'
_space_group_IT_number 15
_cell_length_a 8.018
_cell_length_b 10.124
_cell_length_c 6.890
_cell_angle_alpha 90.00
_cell_angle_beta 117.55
_cell_angle_gamma 90.00
loop_
_space_group_symop_operation_xyz
'x,y,z'
'-x,-y,-z'
'-x,y,-z+1/2'
'x,-y,z+1/2'
'x+1/2,y+1/2,z'
'-x+1/2,-y+1/2,-z'
'-x+1/2,y+1/2,-z+1/2'
'x+1/2,-y+1/2,z+1/2'
loop_
_atom_site_label
_atom_site_type_symbol
_atom_site_fract_x
_atom_site_fract_y
_atom_site_fract_z
Nb1 Nb 0.000 0.037 0.250
In1 In 0.000 0.500 0.000
Pd1 Pd 0.000 0.292 0.250
Pd2 Pd 0.144 0.157 0.644
Pd3 Pd 0.245 0.120 0.101
# Volume, Å³/atom: 17.711


Run ii
# NbInPd5 (PBE, optimized geometry)
data_NbInPd5
_space_group_name_H-M_alt 'P 4/m m m'
_space_group_IT_number 123
_space_group_name_Hall '-P 4 2'
_cell_length_a 3.998
_cell_length_b 3.998
_cell_length_c 7.645
_cell_angle_alpha 90.00
_cell_angle_beta 90.00
_cell_angle_gamma 90.00
loop_
_atom_site_label
_atom_site_type_symbol
_atom_site_fract_x
_atom_site_fract_y
_atom_site_fract_z
Nb1 Nb 0.000 0.000 0.000
In1 In 0.500 0.500 0.500
Pd1 Pd 0.000 0.500 0.251
Pd2 Pd 0.500 0.500 0.000
# Volume, Å³/atom: 17.455


The structure with the least stability is run i.


Run i
# NbIn2Pd2 (PBE, optimized geometry)
data_NbIn2Pd2
_space_group_name_H-M_alt 'I 4/m m m'
_space_group_IT_number 139
_space_group_name_Hall '-I 4 2'
_cell_length_a 3.921
_cell_length_b 3.921
_cell_length_c 12.799
_cell_angle_alpha 90.00
_cell_angle_beta 90.00
_cell_angle_gamma 90.00
loop_
_atom_site_label
_atom_site_type_symbol
_atom_site_fract_x
_atom_site_fract_y
_atom_site_fract_z
Nb1 Nb 0.000 0.000 0.000
In1 In 0.000 0.000 0.393
Pd1 Pd 0.000 0.500 0.250
# Volume, Å³/atom: 19.681


Run ii
# NbIn2Pd2 (PBE, optimized geometry)
data_NbIn2Pd2
_space_group_name_H-M_alt 'P 4/m b m'
_space_group_IT_number 127
_space_group_name_Hall '-P 4 2ab'
_cell_length_a 7.807
_cell_length_b 7.807
_cell_length_c 3.017
_cell_angle_alpha 90.00
_cell_angle_beta 90.00
_cell_angle_gamma 90.00
loop_
_atom_site_label
_atom_site_type_symbol
_atom_site_fract_x
_atom_site_fract_y
_atom_site_fract_z
Nb1 Nb 0.000 0.000 0.000
In1 In 0.168 0.332 0.500
Pd1 Pd 0.131 0.631 0.000
# Volume, Å³/atom: 18.385


The structure with the least stability is run i.


Run i
# NbInPd4 (PBE, optimized geometry)
data_NbInPd4
_space_group_name_H-M_alt 'F d d d'
_space_group_IT_number 70
_cell_length_a 5.845
_cell_length_b 9.443
_cell_length_c 15.061
_cell_angle_alpha 90.00
_cell_angle_beta 90.00
_cell_angle_gamma 90.00
loop_
_space_group_symop_operation_xyz
'x,y,z'
'-x,-y,-z'
'-x+1/4,-y+1/4,z'
'x+1/4,y+1/4,-z'
'x,-y+1/4,-z+1/4'
'-x,y+1/4,z+1/4'
'-x+1/4,y,-z+1/4'
'x+1/4,-y,z+1/4'
'x,y+1/2,z+1/2'
'-x,-y+1/2,-z+1/2'
'-x+1/4,-y+3/4,z+1/2'
'x+1/4,y+3/4,-z+1/2'
'x,-y+3/4,-z+3/4'
'-x,y+3/4,z+3/4'
'-x+1/4,y+1/2,-z+3/4'
'x+1/4,-y+1/2,z+3/4'
'x+1/2,y,z+1/2'
'-x+1/2,-y,-z+1/2'
'-x+3/4,-y+1/4,z+1/2'
'x+3/4,y+1/4,-z+1/2'
'x+1/2,-y+1/4,-z+3/4'
'-x+1/2,y+1/4,z+3/4'
'-x+3/4,y,-z+3/4'
'x+3/4,-y,z+3/4'
'x+1/2,y+1/2,z'
'-x+1/2,-y+1/2,-z'
'-x+3/4,-y+3/4,z'
'x+3/4,y+3/4,-z'
'x+1/2,-y+3/4,-z+1/4'
'-x+1/2,y+3/4,z+1/4'
'-x+3/4,y+1/2,-z+1/4'
'x+3/4,-y+1/2,z+1/4'
loop_
_atom_site_label
_atom_site_type_symbol
_atom_site_fract_x
_atom_site_fract_y
_atom_site_fract_z
Nb1 Nb 0.125 0.125 0.125
In1 In 0.125 0.125 0.625
Pd1 Pd 0.123 0.369 0.219
# Volume, Å³/atom: 17.319


Run ii
# NbInPd4 (PBE, optimized geometry)
data_NbInPd4
_space_group_name_H-M_alt 'C 1 2/m 1'
_space_group_IT_number 12
_cell_length_a 9.485
_cell_length_b 2.977
_cell_length_c 7.661
_cell_angle_alpha 90.00
_cell_angle_beta 113.92
_cell_angle_gamma 90.00
loop_
_space_group_symop_operation_xyz
'x,y,z'
'-x,-y,-z'
'-x,y,-z'
'x,-y,z'
'x+1/2,y+1/2,z'
'-x+1/2,-y+1/2,-z'
'-x+1/2,y+1/2,-z'
'x+1/2,-y+1/2,z'
loop_
_atom_site_label
_atom_site_type_symbol
_atom_site_fract_x
_atom_site_fract_y
_atom_site_fract_z
Nb1 Nb 0.000 0.000 0.000
In1 In 0.000 0.000 0.500
Pd1 Pd 0.162 0.500 0.328
Pd2 Pd 0.168 0.500 0.837
# Volume, Å³/atom: 16.476


The structure with the least stability is run i.